# 1
First-principles (PBE-GGA) data for a relaxed structure of Mg9Al2In, as listed in the Alexandria database.

```
data_Mg9Al2In
_space_group_name_H-M_alt 'P 1'
_space_group_IT_number 1
_cell_length_a 4.4241
_cell_length_b 4.4241
_cell_length_c 13.2320
_cell_angle_alpha 90.00
_cell_angle_beta 90.00
_cell_angle_gamma 90.00
loop_
_space_group_symop_operation_xyz
'x,y,z'
loop_
_atom_site_label
_atom_site_type_symbol
_atom_site_fract_x
_atom_site_fract_y
_atom_site_fract_z
_atom_site_occupancy
Mg1 Mg 0.5000 0.5000 0.0000 1
Mg2 Mg 0.5000 0.5000 0.3368 1
Mg3 Mg 0.5000 0.5000 0.6632 1
Mg4 Mg 0.5000 0.0000 0.1741 1
Mg5 Mg 0.5000 0.0000 0.5000 1
Mg6 Mg 0.5000 0.0000 0.8259 1
Mg7 Mg 0.0000 0.5000 0.1741 1
Mg8 Mg 0.0000 0.5000 0.5000 1
Mg9 Mg 0.0000 0.5000 0.8259 1
Al1 Al 0.0000 0.0000 0.3363 1
Al2 Al 0.0000 0.0000 0.6637 1
In1 In 0.0000 0.0000 0.0000 1
```

Formation energy: -0.3 eV per formula unit
V: 21.58 Å³ per atom
Crystal system: tetragonal

---

# 2
First-principles (PBE-GGA) data for a relaxed structure of PmDy6Er2, as listed in the Alexandria database.

```
data_PmDy6Er2
_space_group_name_H-M_alt 'P 1'
_space_group_IT_number 1
_cell_length_a 3.5491
_cell_length_b 8.6728
_cell_length_c 12.7641
_cell_angle_alpha 132.73
_cell_angle_beta 82.00
_cell_angle_gamma 90.06
loop_
_space_group_symop_operation_xyz
'x,y,z'
loop_
_atom_site_label
_atom_site_type_symbol
_atom_site_fract_x
_atom_site_fract_y
_atom_site_fract_z
_atom_site_occupancy
Pm1 Pm 0.0000 0.0000 0.0000 1
Dy1 Dy 0.8892 0.5570 0.2224 1
Dy2 Dy 0.1108 0.4430 0.7776 1
Dy3 Dy 0.6672 0.6648 0.6651 1
Dy4 Dy 0.7783 0.1094 0.4438 1
Dy5 Dy 0.2217 0.8906 0.5562 1
Dy6 Dy 0.3328 0.3352 0.3349 1
Er1 Er 0.4441 0.7761 0.1113 1
Er2 Er 0.5559 0.2239 0.8887 1
```

Formation energy: 0.2 eV per formula unit
V: 31.49 Å³ per atom
Crystal system: triclinic

---

# 3
First-principles (PBE-GGA) data for a relaxed structure of CaMgSc4Se8, as listed in the Alexandria database.

```
data_CaMgSc4Se8
_space_group_name_H-M_alt 'P 1'
_space_group_IT_number 1
_cell_length_a 8.0703
_cell_length_b 8.0703
_cell_length_c 8.1093
_cell_angle_alpha 60.16
_cell_angle_beta 60.16
_cell_angle_gamma 60.00
loop_
_space_group_symop_operation_xyz
'x,y,z'
loop_
_atom_site_label
_atom_site_type_symbol
_atom_site_fract_x
_atom_site_fract_y
_atom_site_fract_z
_atom_site_occupancy
Ca1 Ca 0.3774 0.3774 0.8678 1
Mg1 Mg 0.0021 0.0021 0.9938 1
Sc1 Sc 0.6226 0.6226 0.1321 1
Sc2 Sc 0.0027 0.4909 0.5036 1
Sc3 Sc 0.4909 0.0027 0.5036 1
Sc4 Sc 0.0027 0.0027 0.5036 1
Se1 Se 0.2376 0.7923 0.7325 1
Se2 Se 0.7923 0.2376 0.7325 1
Se3 Se 0.2376 0.2376 0.7325 1
Se4 Se 0.2381 0.2381 0.2858 1
Se5 Se 0.7562 0.2276 0.2599 1
Se6 Se 0.2276 0.7562 0.2599 1
Se7 Se 0.7562 0.7562 0.2599 1
Se8 Se 0.7559 0.7559 0.7323 1
```

Formation energy (no corrections): -36.53 kcal/mol of atoms
V: 26.74 Å³ per atom
Crystal system: trigonal

---

# 4
First-principles (PBE-GGA) data for a relaxed structure of Si2TcTe, as listed in the Alexandria database.

```
data_Si2TcTe
_space_group_name_H-M_alt 'P 1'
_space_group_IT_number 1
_cell_length_a 3.2206
_cell_length_b 4.6894
_cell_length_c 5.6022
_cell_angle_alpha 52.65
_cell_angle_beta 90.00
_cell_angle_gamma 90.00
loop_
_space_group_symop_operation_xyz
'x,y,z'
loop_
_atom_site_label
_atom_site_type_symbol
_atom_site_fract_x
_atom_site_fract_y
_atom_site_fract_z
_atom_site_occupancy
Si1 Si 0.0000 0.0000 0.0000 1
Si2 Si 0.5000 0.5000 0.0000 1
Tc1 Tc 0.5000 0.5000 0.5000 1
Te1 Te 0.0000 0.0000 0.5000 1
```

Formation energy (no corrections): 13.04 kcal/mol of atoms
V: 16.82 Å³ per atom
Crystal system: monoclinic

---

# 5
First-principles (PBE-GGA) data for a relaxed structure of AcPr3H, as listed in the Alexandria database.

```
data_AcPr3H
_space_group_name_H-M_alt 'P 1'
_space_group_IT_number 1
_cell_length_a 5.3098
_cell_length_b 5.3098
_cell_length_c 5.3098
_cell_angle_alpha 90.00
_cell_angle_beta 90.00
_cell_angle_gamma 90.00
loop_
_space_group_symop_operation_xyz
'x,y,z'
loop_
_atom_site_label
_atom_site_type_symbol
_atom_site_fract_x
_atom_site_fract_y
_atom_site_fract_z
_atom_site_occupancy
Pr1 Pr 0.0000 0.5000 0.0000 1
Pr2 Pr 0.0000 0.0000 0.5000 1
Pr3 Pr 0.5000 0.0000 0.0000 1
H1 H 0.0000 0.0000 0.0000 1
Ac1 Ac 0.5000 0.5000 0.5000 1
```

Uncorrected energy: -22.6 eV/cell
V: 29.94 Å³ per atom
Crystal system: cubic

---

# 6
First-principles (PBE-GGA) data for a relaxed structure of BeIn2P, as listed in the Alexandria database.

```
data_BeIn2P
_space_group_name_H-M_alt 'P 1'
_space_group_IT_number 1
_cell_length_a 6.2470
_cell_length_b 6.2470
_cell_length_c 6.2470
_cell_angle_alpha 144.49
_cell_angle_beta 144.49
_cell_angle_gamma 51.10
loop_
_space_group_symop_operation_xyz
'x,y,z'
loop_
_atom_site_label
_atom_site_type_symbol
_atom_site_fract_x
_atom_site_fract_y
_atom_site_fract_z
_atom_site_occupancy
P1 P 0.5000 0.5000 0.0000 1
Be1 Be 0.7500 0.2500 0.5000 1
In1 In 0.0000 0.0000 0.0000 1
In2 In 0.2500 0.7500 0.5000 1
```

Formation energy: 2.1 eV per formula unit
V: 20.46 Å³ per atom
Crystal system: tetragonal

---

# 7
First-principles (PBE-GGA) data for a relaxed structure of LaSm2Y2Ho2, as listed in the Alexandria database.

```
data_LaSm2Y2Ho2
_space_group_name_H-M_alt 'P 1'
_space_group_IT_number 1
_cell_length_a 3.5366
_cell_length_b 6.1619
_cell_length_c 11.8707
_cell_angle_alpha 72.42
_cell_angle_beta 90.00
_cell_angle_gamma 106.68
loop_
_space_group_symop_operation_xyz
'x,y,z'
loop_
_atom_site_label
_atom_site_type_symbol
_atom_site_fract_x
_atom_site_fract_y
_atom_site_fract_z
_atom_site_occupancy
La1 La 0.0000 0.0000 0.5000 1
Sm1 Sm 0.6722 0.3443 0.9161 1
Sm2 Sm 0.3278 0.6557 0.0839 1
Y1 Y 0.4497 0.8995 0.7749 1
Y2 Y 0.5503 0.1005 0.2251 1
Ho1 Ho 0.7751 0.5502 0.3603 1
Ho2 Ho 0.2249 0.4498 0.6397 1
```

Formation energy: 0.7 eV per formula unit
V: 33.60 Å³ per atom
Crystal system: monoclinic

---

# 8
First-principles (PBE-GGA) data for a relaxed structure of KRb2Ga2, as listed in the Alexandria database.

```
data_KRb2Ga2
_space_group_name_H-M_alt 'P 1'
_space_group_IT_number 1
_cell_length_a 4.0426
_cell_length_b 4.0426
_cell_length_c 14.8741
_cell_angle_alpha 82.19
_cell_angle_beta 82.19
_cell_angle_gamma 90.00
loop_
_space_group_symop_operation_xyz
'x,y,z'
loop_
_atom_site_label
_atom_site_type_symbol
_atom_site_fract_x
_atom_site_fract_y
_atom_site_fract_z
_atom_site_occupancy
K1 K 0.0000 0.0000 0.0000 1
Ga1 Ga 0.7500 0.2500 0.5000 1
Ga2 Ga 0.2500 0.7500 0.5000 1
Rb1 Rb 0.3590 0.3590 0.2821 1
Rb2 Rb 0.6410 0.6410 0.7179 1
```

Formation energy: 0.5 eV per formula unit
V: 47.71 Å³ per atom
Crystal system: tetragonal

---

# 9
First-principles (PBE-GGA) data for a relaxed structure of CaPmCoRh, as listed in the Alexandria database.

```
data_CaPmCoRh
_space_group_name_H-M_alt 'P 1'
_space_group_IT_number 1
_cell_length_a 4.8553
_cell_length_b 4.8553
_cell_length_c 4.8553
_cell_angle_alpha 60.00
_cell_angle_beta 60.00
_cell_angle_gamma 60.00
loop_
_space_group_symop_operation_xyz
'x,y,z'
loop_
_atom_site_label
_atom_site_type_symbol
_atom_site_fract_x
_atom_site_fract_y
_atom_site_fract_z
_atom_site_occupancy
Co1 Co 0.0000 0.0000 0.0000 1
Ca1 Ca 0.2500 0.2500 0.2500 1
Rh1 Rh 0.5000 0.5000 0.5000 1
Pm1 Pm 0.7500 0.7500 0.7500 1
```

Formation energy: -0.5 eV per formula unit
V: 20.23 Å³ per atom
Crystal system: cubic

---

# 10
First-principles (PBE-GGA) data for a relaxed structure of La4Nd2Y7, as listed in the Alexandria database.

```
data_La4Nd2Y7
_space_group_name_H-M_alt 'P 1'
_space_group_IT_number 1
_cell_length_a 6.2135
_cell_length_b 11.5662
_cell_length_c 9.1587
_cell_angle_alpha 67.20
_cell_angle_beta 99.09
_cell_angle_gamma 130.99
loop_
_space_group_symop_operation_xyz
'x,y,z'
loop_
_atom_site_label
_atom_site_type_symbol
_atom_site_fract_x
_atom_site_fract_y
_atom_site_fract_z
_atom_site_occupancy
La1 La 0.9018 0.8316 0.6903 1
La2 La 0.0982 0.1684 0.3097 1
La3 La 0.3674 0.2999 0.6389 1
La4 La 0.6326 0.7001 0.3611 1
Nd1 Nd 0.6459 0.4203 0.9861 1
Nd2 Nd 0.3541 0.5797 0.0139 1
Y1 Y 0.1238 0.6184 0.6228 1
Y2 Y 0.8762 0.3816 0.3772 1
Y3 Y 0.0000 0.0000 0.0000 1
Y4 Y 0.5935 0.9947 0.6869 1
Y5 Y 0.4065 0.0053 0.3131 1
Y6 Y 0.1907 0.7773 0.0866 1
Y7 Y 0.8093 0.2227 0.9134 1
```

Formation energy: 1.6 eV per formula unit
V: 34.89 Å³ per atom
Crystal system: triclinic

---

# 11
First-principles (PBE-GGA) data for a relaxed structure of Tl6Pt7, as listed in the Alexandria database.

```
data_Tl6Pt7
_space_group_name_H-M_alt 'P 1'
_space_group_IT_number 1
_cell_length_a 10.1571
_cell_length_b 10.1571
_cell_length_c 10.1571
_cell_angle_alpha 32.46
_cell_angle_beta 32.46
_cell_angle_gamma 32.46
loop_
_space_group_symop_operation_xyz
'x,y,z'
loop_
_atom_site_label
_atom_site_type_symbol
_atom_site_fract_x
_atom_site_fract_y
_atom_site_fract_z
_atom_site_occupancy
Tl1 Tl 0.9415 0.9415 0.9415 1
Tl2 Tl 0.0585 0.0585 0.0585 1
Tl3 Tl 0.8335 0.8335 0.8335 1
Tl4 Tl 0.1665 0.1665 0.1665 1
Tl5 Tl 0.6685 0.6685 0.6685 1
Tl6 Tl 0.3315 0.3315 0.3315 1
Pt1 Pt 0.4200 0.9097 0.4200 1
Pt2 Pt 0.9097 0.4200 0.4200 1
Pt3 Pt 0.4200 0.4200 0.9097 1
Pt4 Pt 0.5800 0.0903 0.5800 1
Pt5 Pt 0.5800 0.5800 0.0903 1
Pt6 Pt 0.0903 0.5800 0.5800 1
Pt7 Pt 0.5000 0.5000 0.5000 1
```

Formation energy: -0.3 eV per formula unit
V: 20.64 Å³ per atom
Crystal system: trigonal

---

# 12
First-principles (PBE-GGA) data for a relaxed structure of PrSm4Y5, as listed in the Alexandria database.

```
data_PrSm4Y5
_space_group_name_H-M_alt 'P 1'
_space_group_IT_number 1
_cell_length_a 6.3151
_cell_length_b 7.9903
_cell_length_c 7.9903
_cell_angle_alpha 81.02
_cell_angle_beta 66.72
_cell_angle_gamma 66.72
loop_
_space_group_symop_operation_xyz
'x,y,z'
loop_
_atom_site_label
_atom_site_type_symbol
_atom_site_fract_x
_atom_site_fract_y
_atom_site_fract_z
_atom_site_occupancy
Pr1 Pr 0.2205 0.0000 0.0000 1
Sm1 Sm 0.4050 0.4000 0.6967 1
Sm2 Sm 0.8049 0.6967 0.6000 1
Sm3 Sm 0.1017 0.3033 0.4000 1
Sm4 Sm 0.5016 0.6000 0.3033 1
Y1 Y 0.7988 0.3822 0.9190 1
Y2 Y 0.1810 0.9190 0.6178 1
Y3 Y 0.7179 0.0810 0.3822 1
Y4 Y 0.1000 0.6178 0.0810 1
Y5 Y 0.6788 0.0000 0.0000 1
```

Formation energy: 2.8 eV per formula unit
V: 34.02 Å³ per atom
Crystal system: tetragonal